CeTlBr4 (PBE-GGA, optimized geometry); formation energy without anion corrections = -1459 meV per atom; space-group type = No. 15; N(E_F) = 11.25 states/eV/cell; magnetization = 1.0 μB/f.u.; polymorph energy (0 for the lowest one) = 0.0311 eV/atom
1.0
-7.070 -0.770 -1.781
3.175 -7.919 -0.992
0.406 2.881 8.138
Br Tl Ce
8 2 2
Cartesian
-0.143 -3.012 5.825
-3.078 -4.487 3.347
0.973 0.829 6.912
-0.411 -1.321 2.018
-3.347 -2.796 -0.460
-4.462 -6.638 -1.547
0.631 -5.798 3.909
-4.120 -0.010 1.456
-0.597 -4.548 0.883
-2.892 -1.261 4.482
1.824 -5.221 6.655
-5.313 -0.588 -1.290